1.
Crystalline Sr6AcTe8 at its relaxed geometry. Source: the Alexandria database, functional PBE-GGA.

## Properties
Raw total energy   -4.210 eV/atom
Spin magnetization   0.00 μB per formula unit
Calculated density   4.86 g/cm3
Crystal system   cubic

Lattice parameters (Å, degrees): 9.4979 9.4979 9.4979 60.00 60.00 60.00
Last column: nearest neighbours and their distance in Å.
Sites, in units of the cell vectors:
Te1 0.7525 0.7525 0.2475  1 Ac 3.32, 4 Sr 3.36
Te2 0.2475 0.7525 0.2475  1 Ac 3.32, 4 Sr 3.36
Te3 0.2475 0.7525 0.7525  1 Ac 3.32, 4 Sr 3.36
Te4 0.7525 0.2475 0.2475  1 Ac 3.32, 4 Sr 3.36
Te5 0.7500 0.7500 0.7500  6 Sr 3.36
Te6 0.2500 0.2500 0.2500  6 Sr 3.36
Te7 0.7525 0.2475 0.7525  1 Ac 3.32, 4 Sr 3.36
Te8 0.2475 0.2475 0.7525  1 Ac 3.32, 4 Sr 3.36
Sr1 0.5000 0.0000 0.0000  6 Te 3.36
Sr2 0.0000 0.5000 0.5000  6 Te 3.36
Sr3 0.0000 0.0000 0.5000  6 Te 3.36
Sr4 0.0000 0.5000 0.0000  6 Te 3.36
Sr5 0.5000 0.0000 0.5000  6 Te 3.36
Sr6 0.5000 0.5000 0.0000  6 Te 3.36
Ac1 0.0000 0.0000 0.0000  6 Te 3.32



2.
Crystalline Sr4AcTe5 at its relaxed geometry. Source: the Alexandria database, functional PBE-GGA.

## Properties
Raw total energy   -4.342 eV/atom
Spin magnetization   0.00 μB per formula unit
Calculated density   5.36 g/cm3
Crystal system   tetragonal

Lattice parameters (Å, degrees): 4.7372 4.7372 17.1230 97.95 97.95 90.00
Last column: nearest neighbours and their distance in Å.
Sites, in units of the cell vectors:
Sr1 0.2003 0.2003 0.4006  6 Te 3.35-3.36
Sr2 0.7997 0.7997 0.5994  6 Te 3.35-3.36
Sr3 0.3997 0.3997 0.7993  6 Te 3.34-3.37
Sr4 0.6003 0.6003 0.2007  6 Te 3.34-3.37
Te1 0.3002 0.3002 0.6003  6 Sr 3.34-3.35
Te2 0.8999 0.8999 0.7998  5 Sr 3.35-3.36, 1 Ac 3.36
Te3 0.6998 0.6998 0.3997  6 Sr 3.34-3.35
Te4 0.5000 0.5000 0.0000  4 Ac 3.35, 2 Sr 3.37
Te5 0.1001 0.1001 0.2002  5 Sr 3.35-3.36, 1 Ac 3.36
Ac1 0.0000 0.0000 0.0000  6 Te 3.35-3.36



3.
Crystalline SrAcTe2 at its relaxed geometry. Source: the Alexandria database, functional PBE-GGA.

## Properties
Spin magnetization   0.00 μB per formula unit
E above lowest polymorph   76 kJ/mol of formula units
Calculated density   7.03 g/cm3
Crystal system   cubic

Lattice parameters (Å, degrees): 5.7513 5.7513 5.7513 60.00 60.00 60.00
Last column: nearest neighbours and their distance in Å.
Sites, in units of the cell vectors:
Sr1 0.5000 0.5000 0.5000  8 Te 3.52
Te1 0.7500 0.7500 0.7500  4 Ac 3.52, 4 Sr 3.52
Te2 0.2500 0.2500 0.2500  4 Ac 3.52, 4 Sr 3.52
Ac1 0.0000 0.0000 0.0000  8 Te 3.52



4.
Crystalline SrAcTe2 at its relaxed geometry. Source: the Alexandria database, functional PBE-GGA.

## Properties
Spin magnetization   0.00 μB per formula unit
E above lowest polymorph   29 kJ/mol of formula units
Calculated density   6.22 g/cm3
Crystal system   trigonal

Lattice parameters (Å, degrees): 4.5987 4.5987 8.7172 74.71 74.71 60.00
Last column: nearest neighbours and their distance in Å.
Sites, in units of the cell vectors:
Sr1 0.4965 0.4965 0.5106  6 Te 3.31-3.44
Te1 0.2506 0.2506 0.2481  3 Ac 3.40, 3 Sr 3.44
Te2 0.0839 0.0839 0.7484  3 Sr 3.31, 3 Ac 3.34
Ac1 0.6690 0.6690 0.9929  6 Te 3.34-3.40



5.
Crystalline SrAc3Te6 at its relaxed geometry. Source: the Alexandria database, functional PBE-GGA.

## Properties
Raw total energy   -4.719 eV/atom
Spin magnetization   0.00 μB per formula unit
Calculated density   6.16 g/cm3
Crystal system   monoclinic

Lattice parameters (Å, degrees): 4.7803 13.0711 13.8209 106.69 90.00 90.00
Last column: nearest neighbours and their distance in Å.
Sites, in units of the cell vectors:
Te1 0.7500 0.8037 0.7468  3 Ac 3.27-3.29, 1 Sr 3.43
Te2 0.2500 0.0929 0.9079  3 Ac 3.31-3.35, 1 Te 3.70
Te3 0.2500 0.5984 0.9349  4 Ac 3.27-3.34
Te4 0.2500 0.8883 0.5441  3 Sr 3.42-3.63, 2 Ac 3.48
Te5 0.7500 0.1117 0.4559  3 Sr 3.42-3.63, 2 Ac 3.48
Te6 0.2500 0.2501 0.7239  3 Ac 3.36-3.45, 2 Sr 3.53, 1 Te 3.70
Te7 0.7500 0.4016 0.0651  4 Ac 3.27-3.34
Te8 0.2500 0.1963 0.2532  3 Ac 3.27-3.29, 1 Sr 3.43
Te9 0.7500 0.7499 0.2761  3 Ac 3.36-3.45, 2 Sr 3.53, 1 Te 3.70
Te10 0.7500 0.9071 0.0921  3 Ac 3.31-3.35, 1 Te 3.70
Te11 0.2500 0.5197 0.3862  4 Ac 3.27-3.48
Te12 0.7500 0.4803 0.6138  4 Ac 3.27-3.48
Ac1 0.7500 0.1584 0.0854  6 Te 3.27-3.35
Ac2 0.2500 0.8416 0.9146  6 Te 3.27-3.35
Ac3 0.7500 0.4274 0.8313  6 Te 3.27-3.36
Ac4 0.7500 0.6866 0.5015  7 Te 3.29-3.48
Ac5 0.2500 0.5726 0.1687  6 Te 3.27-3.36
Ac6 0.2500 0.3134 0.4985  7 Te 3.29-3.48
Sr1 0.7500 0.0444 0.6930  8 Te 3.42-3.72
Sr2 0.2500 0.9556 0.3070  8 Te 3.42-3.72



6.
Crystalline Sr4Ac3Te8 at its relaxed geometry. Source: the Alexandria database, functional PBE-GGA.

## Properties
Spin magnetization   0.00 μB per formula unit
E above lowest polymorph   180 kJ/mol of formula units
Calculated density   5.13 g/cm3
Crystal system   trigonal

Lattice parameters (Å, degrees): 9.4504 9.4504 10.1769 62.33 62.33 60.00
Last column: nearest neighbours and their distance in Å.
Sites, in units of the cell vectors:
Te1 0.7484 0.2394 0.2637  3 Sr 3.25-3.51, 2 Ac 3.38
Te2 0.2394 0.7484 0.2637  3 Sr 3.25-3.51, 2 Ac 3.38
Te3 0.2355 0.2355 0.2936  1 Sr 3.09, 3 Ac 3.25
Te4 0.7606 0.2516 0.7363  3 Sr 3.25-3.51, 2 Ac 3.38
Te5 0.2516 0.2516 0.7363  3 Sr 3.25-3.51, 2 Ac 3.38
Te6 0.7484 0.7484 0.2637  3 Sr 3.25-3.51, 2 Ac 3.38
Te7 0.2516 0.7606 0.7363  3 Sr 3.25-3.51, 2 Ac 3.38
Te8 0.7645 0.7645 0.7064  1 Sr 3.09, 3 Ac 3.25
Sr1 0.5000 0.5000 0.5000  6 Te 3.44, 2 Sr 3.73
Sr2 0.6445 0.6445 0.0664  4 Te 3.09-3.25
Sr3 0.0000 0.0000 0.0000  6 Te 3.51
Sr4 0.3555 0.3555 0.9336  4 Te 3.09-3.25
Ac1 0.5000 0.0000 0.5000  6 Te 3.25-3.38
Ac2 0.0000 0.5000 0.5000  6 Te 3.25-3.38
Ac3 0.0000 0.0000 0.5000  6 Te 3.25-3.38